First-principles (PBE with a Hubbard U) data for a geometry-optimized TmTaCrO6 structure, as listed in Alexandria.

## Properties
M_tot ... 0.2222 μB/atom
Space-group type ... P4_2nm (102)
VASP energy ... -8.57 eV per atom
N(E_F) ... 0.012 states/eV per cell

```
data_TmTaCrO6
_cell_length_a 4.783
_cell_length_b 4.783
_cell_length_c 9.470
_cell_angle_alpha 90.00
_cell_angle_beta 90.00
_cell_angle_gamma 90.00
_symmetry_space_group_name_H-M 'P 1'
_symmetry_Int_Tables_number 1
_symmetry_space_group_name_Hall 'P 1'
loop_
_atom_site_label
_atom_site_fract_x
_atom_site_fract_y
_atom_site_fract_z
Ta1 0.000 0.000 0.334
Ta2 0.500 0.500 0.834
Tm1 0.000 0.000 0.996
Tm2 0.500 0.500 0.496
Cr1 0.500 0.500 0.167
Cr2 0.000 0.000 0.667
O1 0.679 0.679 0.003
O2 0.213 0.787 0.183
O3 0.287 0.287 0.683
O4 0.179 0.821 0.503
O5 0.207 0.793 0.816
O6 0.821 0.179 0.503
O7 0.787 0.213 0.183
O8 0.707 0.707 0.316
O9 0.293 0.293 0.316
O10 0.321 0.321 0.003
O11 0.713 0.713 0.683
O12 0.793 0.207 0.816
```